Density functional theory data (GGA-PBE) for a relaxed structure of TlTeAuN2.

It has space group P4/mmm (No. 123), with a = 4.258 Å, b = 4.258 Å, c = 6.661 Å, α = 90.00°, β = 90.00° and γ = 90.00°. Symmetry generates all atoms from Tl at (0.000, 0.000, 0.000), Te at (0.000, 0.000, 0.500), Au at (0.500, 0.500, 0.500) and N at (0.000, 0.500, 0.000).

The total energy is -3.3217 eV per atom.